Record 1
Tb12Pr2Zr after structural relaxation, computed with PBE.

Output
As for the symmetry: No. 12. The density of states at the Fermi level is 45.01 states/eV/cell. The value obtained for the formation energy is 143 meV/atom.

```
data_Tb12Pr2Zr
_chemical_formula_sum 'Tb24 Pr4 Zr2'
_cell_length_a 6.707
_cell_length_b 6.707
_cell_length_c 24.158
_cell_angle_alpha 86.31
_cell_angle_beta 86.31
_cell_angle_gamma 116.04
_space_group_name_H-M_alt 'P 1'
_space_group_IT_number 1
loop_
_space_group_symop_operation_xyz
'x,y,z'
loop_
_atom_site_label
_atom_site_type_symbol
_atom_site_fract_x
_atom_site_fract_y
_atom_site_fract_z
Tb1 Tb 0.989 0.985 0.806
Tb2 Tb 0.325 0.333 0.064
Pr1 Pr 0.530 0.030 0.735
Tb3 Tb 0.150 0.650 0.428
Tb4 Tb 0.442 0.448 0.327
Tb5 Tb 0.644 0.653 0.444
Tb6 Tb 0.153 0.144 0.444
Tb7 Tb 0.833 0.825 0.064
Tb8 Tb 0.552 0.558 0.673
Tb9 Tb 0.856 0.847 0.556
Tb10 Tb 0.667 0.675 0.936
Tb11 Tb 0.661 0.161 0.423
Tb12 Tb 0.738 0.238 0.881
Tb13 Tb 0.347 0.356 0.556
Pr2 Pr 0.028 0.528 0.732
Tb14 Tb 0.266 0.766 0.119
Tb15 Tb 0.511 0.515 0.194
Tb16 Tb 0.839 0.339 0.577
Tb17 Tb 0.058 0.052 0.673
Tb18 Tb 0.234 0.734 0.881
Tb19 Tb 0.015 0.011 0.194
Tb20 Tb 0.948 0.942 0.327
Zr1 Zr 0.978 0.478 0.997
Zr2 Zr 0.522 0.022 0.003
Tb21 Tb 0.485 0.489 0.806
Tb22 Tb 0.175 0.167 0.936
Pr3 Pr 0.472 0.972 0.268
Pr4 Pr 0.970 0.470 0.265
Tb23 Tb 0.350 0.850 0.572
Tb24 Tb 0.762 0.262 0.119
```

=====

Record 2
Dy2ZnTc after structural relaxation, computed with PBE.

Output
As for the symmetry: No. 166. The density of states at the Fermi level is 3.22 states/eV/cell. The value obtained for the formation energy is 318 meV/atom.

```
data_Dy2ZnTc
_chemical_formula_sum 'Dy2 Zn1 Tc1'
_cell_length_a 3.415
_cell_length_b 3.415
_cell_length_c 10.381
_cell_angle_alpha 80.53
_cell_angle_beta 80.53
_cell_angle_gamma 60.00
_space_group_name_H-M_alt 'P 1'
_space_group_IT_number 1
loop_
_space_group_symop_operation_xyz
'x,y,z'
loop_
_atom_site_label
_atom_site_type_symbol
_atom_site_fract_x
_atom_site_fract_y
_atom_site_fract_z
Dy1 Dy 0.899 0.899 0.304
Dy2 Dy 0.101 0.101 0.696
Zn1 Zn 0.000 0.000 0.000
Tc1 Tc 0.500 0.500 0.500
```

=====

Record 3
Tb3Re5C12 after structural relaxation, computed with PBE.

Output
As for the symmetry: No. 230. The density of states at the Fermi level is 61.69 states/eV/cell. The value obtained for the formation energy is 816 meV/atom.

```
data_Tb3Re5C12
_chemical_formula_sum 'Tb12 Re20 C48'
_cell_length_a 11.360
_cell_length_b 11.360
_cell_length_c 11.360
_cell_angle_alpha 109.47
_cell_angle_beta 109.47
_cell_angle_gamma 109.47
_space_group_name_H-M_alt 'P 1'
_space_group_IT_number 1
loop_
_space_group_symop_operation_xyz
'x,y,z'
loop_
_atom_site_label
_atom_site_type_symbol
_atom_site_fract_x
_atom_site_fract_y
_atom_site_fract_z
C1 C 0.488 0.806 0.889
Re1 Re 0.125 0.375 0.250
C2 C 0.418 0.306 0.318
C3 C 0.099 0.918 0.111
C4 C 0.401 0.012 0.318
C5 C 0.682 0.194 0.582
C6 C 0.582 0.694 0.682
Re2 Re 0.000 0.000 0.500
C7 C 0.694 0.111 0.012
C8 C 0.694 0.582 0.182
C9 C 0.806 0.318 0.918
Re3 Re 0.500 0.000 0.000
C10 C 0.111 0.694 0.512
Tb1 Tb 0.750 0.375 0.125
Tb2 Tb 0.375 0.750 0.625
C11 C 0.599 0.988 0.682
Re4 Re 0.000 0.500 0.000
C12 C 0.818 0.918 0.306
Tb3 Tb 0.125 0.875 0.750
C13 C 0.512 0.194 0.111
Tb4 Tb 0.125 0.250 0.875
C14 C 0.488 0.682 0.099
C15 C 0.194 0.512 0.611
C16 C 0.182 0.099 0.988
C17 C 0.082 0.182 0.194
C18 C 0.901 0.818 0.512
Re5 Re 0.875 0.250 0.625
Re6 Re 0.000 0.500 0.500
C19 C 0.918 0.818 0.806
Re7 Re 0.500 0.000 0.500
Tb5 Tb 0.875 0.125 0.250
C20 C 0.418 0.111 0.599
Tb6 Tb 0.875 0.750 0.125
C21 C 0.611 0.599 0.918
C22 C 0.318 0.806 0.418
C23 C 0.194 0.682 0.082
C24 C 0.806 0.488 0.389
Re8 Re 0.500 0.500 0.500
C25 C 0.401 0.389 0.582
C26 C 0.182 0.082 0.694
Re9 Re 0.625 0.750 0.875
Tb7 Tb 0.750 0.875 0.625
Re10 Re 0.750 0.125 0.875
C27 C 0.611 0.012 0.194
Re11 Re 0.250 0.875 0.125
C28 C 0.082 0.901 0.389
Re12 Re 0.375 0.250 0.125
C29 C 0.012 0.611 0.694
C30 C 0.012 0.401 0.818
Tb8 Tb 0.625 0.375 0.750
C31 C 0.889 0.582 0.901
C32 C 0.111 0.418 0.099
C33 C 0.918 0.099 0.611
C34 C 0.512 0.318 0.901
Re13 Re 0.625 0.875 0.250
Tb9 Tb 0.250 0.625 0.875
C35 C 0.901 0.082 0.889
Tb10 Tb 0.375 0.625 0.250
C36 C 0.389 0.401 0.082
C37 C 0.682 0.488 0.599
C38 C 0.599 0.611 0.418
Re14 Re 0.375 0.125 0.750
Re15 Re 0.125 0.750 0.375
Re16 Re 0.750 0.625 0.375
C39 C 0.988 0.599 0.182
C40 C 0.099 0.182 0.488
C41 C 0.988 0.389 0.306
C42 C 0.889 0.306 0.488
Re17 Re 0.250 0.375 0.625
Tb11 Tb 0.625 0.250 0.375
Re18 Re 0.000 0.000 0.000
Re19 Re 0.875 0.625 0.750
Re20 Re 0.500 0.500 0.000
C43 C 0.306 0.418 0.818
C44 C 0.306 0.889 0.988
C45 C 0.582 0.889 0.401
C46 C 0.318 0.512 0.401
C47 C 0.818 0.901 0.012
Tb12 Tb 0.250 0.125 0.375
C48 C 0.389 0.988 0.806
```

=====

Record 4
KSrFe2 after structural relaxation, computed with PBE.

Output
As for the symmetry: No. 10. The density of states at the Fermi level is 3.53 states/eV/cell. The value obtained for the formation energy is 873 meV/atom.

```
data_KSrFe2
_chemical_formula_sum 'K1 Sr1 Fe2'
_cell_length_a 4.153
_cell_length_b 4.318
_cell_length_c 8.813
_cell_angle_alpha 59.97
_cell_angle_beta 90.00
_cell_angle_gamma 90.00
_space_group_name_H-M_alt 'P 1'
_space_group_IT_number 1
loop_
_space_group_symop_operation_xyz
'x,y,z'
loop_
_atom_site_label
_atom_site_type_symbol
_atom_site_fract_x
_atom_site_fract_y
_atom_site_fract_z
K1 K 0.500 0.250 0.250
Fe1 Fe 0.000 0.106 0.891
Fe2 Fe 0.000 0.394 0.609
Sr1 Sr 0.500 0.750 0.750
```